# Ca4Tl3Hg

A relaxed structure of Ca4Tl3Hg (GGA-PBE, Alexandria via LeMat-Bulk).

## Properties
total energy = -2.35 eV per atom
N(E_F) = 4.53 states/eV/cell
spin magnetization = 0.000 μB per cell
excess energy over the best structure of this formula in the dataset = 47.0 meV per atom
V = 241.6 Å³/cell
calculated formation energy = -3.389 eV/f.u.

Unit cell a=3.970 b=5.077 c=11.986 alpha=90.00 beta=90.00 gamma=90.00
Space group Pmm2 (No. 25)
Inequivalent atoms, fractional coordinates:
1 Ca 0.000 0.000 0.000 x1
2 Ca 0.000 0.500 0.281 x1
3 Ca 0.500 0.000 0.488 x1
4 Ca 0.500 0.500 0.787 x1
5 Tl 0.000 0.000 0.723 x1
6 Tl 0.000 0.500 0.554 x1
7 Tl 0.500 0.500 0.058 x1
8 Hg 0.500 0.000 0.221 x1

# Ca4Tl3Hg

A relaxed structure of Ca4Tl3Hg (GGA-PBE, Alexandria via LeMat-Bulk).

## Properties
total energy = -2.40 eV per atom
N(E_F) = 5.29 states/eV/cell
spin magnetization = 0.000 μB per cell
excess energy over the best structure of this formula in the dataset = 0.0 meV per atom
V = 231.7 Å³/cell
calculated formation energy = -3.765 eV/f.u.

Unit cell a=3.869 b=3.869 c=15.474 alpha=90.00 beta=90.00 gamma=90.00
Space group P4/mmm (No. 123)
Inequivalent atoms, fractional coordinates:
1 Ca 0.000 0.000 0.119 x2
2 Ca 0.000 0.000 0.373 x2
3 Tl 0.500 0.500 0.248 x2
4 Tl 0.500 0.500 0.500 x1
5 Hg 0.500 0.500 0.000 x1

Look up the V of the second one. 231.7 Å³/cell